*a*
Below is crystalline ReAg2Mo at its relaxed geometry, with properties calculated at the PBE level.

```
ReAg2Mo
1.0
0.000 3.197 3.197
3.197 0.000 3.197
3.197 3.197 0.000
Ag Re Mo
2 1 1
Direct
0.250 0.250 0.250
0.750 0.750 0.750
0.500 0.500 0.500
0.000 0.000 0.000
```

Computed properties:
Its crystal system is cubic. The calculated volume comes out at 16.3 Å³ per atom.

=====

*b*
Below is crystalline ReAg2Mo at its relaxed geometry, with properties calculated at the PBE level.

```
ReAg2Mo
1.0
-2.014 2.796 -1.539
-1.771 -2.493 -2.211
-3.213 -0.554 3.197
Re Ag Mo
1 2 1
Direct
0.000 0.500 0.500
0.000 0.000 0.000
0.500 0.500 0.000
0.500 0.000 0.500
```

Computed properties:
Its crystal system is tetragonal. The calculated volume comes out at 16.3 Å³ per atom.

=====

The structure shown above that is least stable: *a*.